1.
GGA-PBEsol Cu4Sn7S16, optimized geometry; symmetry = No. 160; uncorrected formation energy = -10.4 eV/f.u.; DFT total energy = -127.7 eV/cell
1.0
7.333 0.000 0.000
3.667 6.351 0.000
3.667 2.117 11.891
S Sn Cu
16 7 4
direct
0.124 0.124 0.627 S
0.358 0.881 0.880 S
0.868 0.380 0.373 S
0.380 0.868 0.373 S
0.621 0.128 0.629 S
0.640 0.121 0.118 S
0.881 0.358 0.880 S
0.881 0.881 0.880 S
0.128 0.621 0.629 S
0.121 0.640 0.118 S
0.621 0.621 0.629 S
0.121 0.121 0.118 S
0.626 0.626 0.121 S
0.876 0.876 0.372 S
0.380 0.380 0.373 S
0.373 0.373 0.882 S
0.756 0.245 0.243 Sn
0.756 0.756 0.243 Sn
0.249 0.249 0.755 Sn
0.249 0.747 0.755 Sn
0.497 0.497 0.508 Sn
0.245 0.756 0.243 Sn
0.747 0.249 0.755 Sn
0.001 0.001 0.998 Cu
0.305 0.305 0.084 Cu
0.188 0.188 0.435 Cu
0.695 0.695 0.914 Cu

---

2.
GGA-PBEsol Cu2SnS3, optimized geometry; symmetry = No. 9; uncorrected formation energy = -2.1 eV/f.u.; DFT total energy = -56.4 eV/cell
1.0
-5.838 2.488 -1.764
-4.908 0.307 4.378
-0.080 6.513 1.130
Cu S Sn
4 6 2
direct
0.264 0.496 0.987 Cu
0.440 0.163 0.487 Cu
0.603 0.837 0.987 Cu
0.760 0.504 0.487 Cu
0.246 0.815 0.102 S
0.411 0.474 0.624 S
0.885 0.526 0.124 S
0.061 0.185 0.602 S
0.696 0.831 0.624 S
0.527 0.169 0.124 S
0.908 0.186 0.005 Sn
0.094 0.814 0.505 Sn

---

3.
GGA-PBEsol CuSn3S, optimized geometry; symmetry = No. 221; uncorrected formation energy = 1.3 eV/f.u.; DFT total energy = -20.2 eV/cell
1.0
-2.772 3.211 -2.580
-4.016 -2.798 0.832
-0.916 2.551 4.160
Sn S Cu
3 1 1
direct
0.500 0.000 0.000 Sn
0.000 0.500 0.000 Sn
0.000 0.000 0.500 Sn
0.500 0.500 0.500 S
0.000 0.000 0.000 Cu

---

4.
GGA-PBEsol CuSnS3, optimized geometry; symmetry = No. 221; uncorrected formation energy = 0.7 eV/f.u.; DFT total energy = -21.1 eV/cell
1.0
4.539 0.000 0.000
0.000 4.539 0.000
0.000 0.000 4.539
S Sn Cu
3 1 1
direct
0.000 0.000 0.500 S
0.000 0.500 0.000 S
0.500 0.000 0.000 S
0.500 0.500 0.500 Sn
0.000 0.000 0.000 Cu

---

5.
GGA-PBEsol Cu2SnS3, optimized geometry; symmetry = No. 44; uncorrected formation energy = -2.1 eV/f.u.; DFT total energy = -28.2 eV/cell
1.0
-1.904 -2.432 2.295
3.878 -3.607 -0.606
1.722 5.172 3.685
S Cu Sn
3 2 1
direct
0.322 0.307 0.644 S
0.000 0.035 0.000 S
0.678 0.663 0.356 S
0.171 0.432 0.341 Cu
0.829 0.090 0.659 Cu
0.500 0.732 0.000 Sn

---

6.
GGA-PBEsol Tb3CuSnS7, optimized geometry; symmetry = No. 173; uncorrected formation energy = -17.7 eV/f.u.; DFT total energy = -144.1 eV/cell
1.0
-5.067 0.445 -3.230
4.749 -3.083 -7.876
-4.309 -6.399 5.880
S Tb Sn Cu
14 6 2 2
direct
0.292 0.738 0.849 S
0.792 0.890 0.738 S
0.292 0.110 0.262 S
0.983 0.080 0.564 S
0.292 0.151 0.890 S
0.483 0.920 0.436 S
0.983 0.484 0.920 S
0.983 0.436 0.516 S
0.792 0.849 0.110 S
0.056 0.667 0.333 S
0.483 0.564 0.484 S
0.483 0.516 0.080 S
0.556 0.333 0.667 S
0.792 0.262 0.151 S
0.232 0.787 0.145 Tb
0.732 0.145 0.359 Tb
0.232 0.359 0.213 Tb
0.732 0.641 0.787 Tb
0.232 0.855 0.641 Tb
0.732 0.213 0.855 Tb
0.164 0.333 0.667 Sn
0.664 0.667 0.333 Sn
0.820 0.000 0.000 Cu
0.320 0.000 0.000 Cu

---

7.
GGA-PBEsol Tl2Cu2SnS4, optimized geometry; symmetry = No. 72; uncorrected formation energy = -2.8 eV/f.u.; DFT total energy = -77.0 eV/cell
1.0
5.202 0.000 0.000
2.601 8.747 0.023
2.601 1.430 8.629
S Tl Sn Cu
8 4 2 4
direct
0.596 0.273 0.010 S
0.121 0.010 0.273 S
0.879 0.990 0.727 S
0.379 0.227 0.490 S
0.096 0.510 0.773 S
0.904 0.490 0.227 S
0.404 0.727 0.990 S
0.621 0.773 0.510 S
0.740 0.379 0.621 Tl
0.760 0.879 0.121 Tl
0.260 0.621 0.379 Tl
0.240 0.121 0.879 Tl
0.750 0.750 0.750 Sn
0.250 0.250 0.250 Sn
0.250 0.979 0.521 Cu
0.750 0.021 0.479 Cu
0.250 0.521 0.979 Cu
0.750 0.479 0.021 Cu

---

8.
GGA-PBEsol Cu6SnWS8, optimized geometry; symmetry = No. 115; uncorrected formation energy = -5.6 eV/f.u.; DFT total energy = -84.7 eV/cell
1.0
-2.704 -4.239 1.275
-1.223 -1.403 -7.259
6.277 -4.085 -0.268
S Cu Sn W
8 6 1 1
direct
0.247 0.254 0.500 S
0.266 0.268 0.000 S
0.753 0.500 0.254 S
0.247 0.746 0.500 S
0.734 0.000 0.732 S
0.734 0.000 0.268 S
0.753 0.500 0.746 S
0.266 0.732 0.000 S
0.006 0.000 0.500 Cu
0.500 0.749 0.251 Cu
0.500 0.251 0.251 Cu
0.500 0.251 0.749 Cu
0.500 0.749 0.749 Cu
0.994 0.500 0.000 Cu
0.000 0.000 0.000 Sn
0.000 0.500 0.500 W

---

9.
GGA-PBEsol SrCuS2, optimized geometry; symmetry = No. 225; uncorrected formation energy = -2.4 eV/f.u.; DFT total energy = -17.4 eV/cell
1.0
4.742 0.000 0.000
2.371 4.106 0.000
2.371 1.369 3.872
S Cu Sr
2 1 1
direct
0.750 0.750 0.750 S
0.250 0.250 0.250 S
0.000 0.000 0.000 Cu
0.500 0.500 0.500 Sr

---

10.
GGA-PBEsol Sr2UCu2S5, optimized geometry; symmetry = No. 12; uncorrected formation energy = -13.8 eV/f.u.; DFT total energy = -60.3 eV/cell
1.0
3.900 0.000 0.000
1.950 6.443 0.001
1.950 2.359 8.199
U Sr Cu S
1 2 2 5
direct
0.000 0.000 0.000 U
0.828 0.640 0.704 Sr
0.172 0.360 0.296 Sr
0.559 0.181 0.701 Cu
0.441 0.819 0.299 Cu
0.383 0.302 0.931 S
0.844 0.003 0.309 S
0.156 0.997 0.691 S
0.500 0.500 0.500 S
0.617 0.698 0.069 S

---

11.
GGA-PBEsol Ta3Cu2S6, optimized geometry; symmetry = No. 36; uncorrected formation energy = -10.8 eV/f.u.; DFT total energy = -166.8 eV/cell
1.0
-2.985 -1.403 -0.383
4.989 -5.372 -4.809
2.123 -7.361 10.424
S Ta Cu
12 6 4
direct
0.054 0.108 0.631 S
0.608 0.217 0.129 S
0.392 0.783 0.629 S
0.057 0.115 0.872 S
0.946 0.892 0.131 S
0.279 0.557 0.368 S
0.718 0.436 0.628 S
0.282 0.564 0.128 S
0.615 0.231 0.373 S
0.385 0.769 0.873 S
0.721 0.443 0.868 S
0.943 0.885 0.372 S
0.722 0.444 0.249 Ta
0.943 0.886 0.750 Ta
0.278 0.556 0.749 Ta
0.391 0.782 0.250 Ta
0.609 0.218 0.750 Ta
0.057 0.114 0.250 Ta
0.946 0.891 0.963 Cu
0.721 0.442 0.036 Cu
0.054 0.109 0.463 Cu
0.279 0.558 0.536 Cu

---

12.
GGA-PBEsol TaCuS2, optimized geometry; energy above the lowest structure with this stoichiometry = 624 meV per atom; symmetry = No. 225; uncorrected formation energy = -0.9 eV/f.u.; DFT total energy = -26.6 eV/cell
1.0
-1.079 3.883 -1.478
-3.613 1.883 1.352
0.201 3.415 2.593
S Ta Cu
2 1 1
direct
0.750 0.750 0.750 S
0.250 0.250 0.250 S
0.500 0.500 0.500 Ta
0.000 0.000 0.000 Cu